[1]
The following is a PBE calculation of a relaxed LiMnBr2 crystal, from Alexandria via LeMat-Bulk.

Cell and atoms, written as POSCAR:
```
LiMnBr2
1.0
5.238 0.000 0.000
2.619 4.537 0.000
2.619 1.512 4.277
Mn Li Br
1 1 2
direct
0.750 0.750 0.750
0.500 0.500 0.500
0.000 0.000 0.000
0.250 0.250 0.250
```

Output
**Space-group type**: F-43m (216)
**Crystal system**: cubic
**E_form (uncorrected)**: 0.071 eV per atom
**M_tot**: 5.7 Bohr magnetons per cell
**Excess energy over the best structure of this formula in the dataset**: 2.883 eV/f.u.

[2]
The following is a PBE calculation of a relaxed SbRhAu2 crystal, from Alexandria via LeMat-Bulk.

Cell and atoms, written as POSCAR:
```
SbRhAu2
1.0
-1.558 0.427 -3.639
2.840 -2.358 -1.493
-2.692 -3.697 0.719
Au Sb Rh
2 1 1
direct
0.000 0.500 0.000
0.500 0.000 0.000
0.000 0.000 0.500
0.500 0.500 0.500
```

Output
**Space-group type**: P4/mmm (123)
**Crystal system**: tetragonal
**E_form (uncorrected)**: 0.049 eV per atom
**M_tot**: 0.0 Bohr magnetons per cell

[3]
The following is a PBE calculation of a relaxed La2TmNiS5 crystal, from Alexandria via LeMat-Bulk.

Cell and atoms, written as POSCAR:
```
La2TmNiS5
1.0
3.879 0.000 0.000
-1.939 8.322 0.000
0.000 0.000 12.000
Tm S Ni La
2 10 2 4
direct
0.179 0.357 0.025
0.821 0.643 0.525
0.499 0.999 0.754
0.305 0.611 0.683
0.019 0.038 0.010
0.695 0.389 0.183
0.312 0.625 0.366
0.688 0.375 0.866
0.981 0.962 0.510
0.501 0.001 0.254
0.341 0.682 0.020
0.659 0.318 0.520
0.447 0.893 0.424
0.553 0.107 0.924
0.885 0.769 0.846
0.121 0.243 0.697
0.115 0.231 0.346
0.879 0.757 0.197
```

Output
**Space-group type**: Cmc2_1 (36)
**Crystal system**: orthorhombic
**E_form (uncorrected)**: -1.826 eV per atom
**M_tot**: 0.0 Bohr magnetons per cell

[4]
The following is a PBE calculation of a relaxed KSbPCl2 crystal, from Alexandria via LeMat-Bulk.

Cell and atoms, written as POSCAR:
```
KSbPCl2
1.0
-3.149 3.748 -2.606
-4.539 -2.230 2.277
0.460 3.207 4.057
K Cl Sb P
1 2 1 1
direct
0.500 0.500 0.500
0.500 0.000 0.000
0.000 0.500 0.000
0.000 0.000 0.000
0.000 0.000 0.500
```

Output
**Space-group type**: P4/mmm (123)
**Crystal system**: tetragonal
**E_form (uncorrected)**: -0.499 eV per atom
**M_tot**: 0.7 Bohr magnetons per cell
**Excess energy over the best structure of this formula in the dataset**: 0.000 eV/f.u.

no.,total DFT energy (no corrections) (eV per cell),D(E_F) (states/eV/f.u.)
1,-14.14,4.12
2,-17.83,5.02
3,-114.35,4.07
4,-16.82,4.10